# PBE Ho2ErHg, optimized geometry
# Calculated total energy (eV per atom): -3.55
# Distance to the lowest polymorph of the same formula (meV per atom): 179
# Calculated formation energy (eV per atom): -0.0447
data_Ho2ErHg
_chemical_formula_sum 'Ho8 Er4 Hg4'
_cell_length_a 7.591
_cell_length_b 7.591
_cell_length_c 7.591
_cell_angle_alpha 90.00
_cell_angle_beta 90.00
_cell_angle_gamma 90.00
_symmetry_space_group_name_H-M 'P 1'
_symmetry_Int_Tables_number 1
_symmetry_space_group_name_Hall 'P 1'
loop_
_atom_site_label
_atom_site_type_symbol
_atom_site_fract_x
_atom_site_fract_y
_atom_site_fract_z
Ho1 Ho 0.250 0.250 0.250
Ho2 Ho 0.250 0.250 0.750
Ho3 Ho 0.250 0.750 0.250
Ho4 Ho 0.250 0.750 0.750
Ho5 Ho 0.750 0.250 0.250
Ho6 Ho 0.750 0.250 0.750
Ho7 Ho 0.750 0.750 0.250
Ho8 Ho 0.750 0.750 0.750
Er1 Er 0.000 0.000 0.000
Er2 Er 0.000 0.500 0.500
Er3 Er 0.500 0.000 0.500
Er4 Er 0.500 0.500 0.000
Hg1 Hg 0.000 0.000 0.500
Hg2 Hg 0.000 0.500 0.000
Hg3 Hg 0.500 0.000 0.000
Hg4 Hg 0.500 0.500 0.500